No. 1
An optimized crystal structure of LaCd3Se, computed with PBE.

a b c (Å): 5.3706 5.3706 5.3706
angles (deg): 90.00 90.00 90.00
Atoms (fractional coordinates):
La  0.0000  0.0000  0.0000
Cd  0.0000  0.5000  0.5000
Cd  0.5000  0.0000  0.5000
Cd  0.5000  0.5000  0.0000
Se  0.5000  0.5000  0.5000

Computed properties:
- Spin magnetization: 0.0 Bohr magnetons per cell
- E: -2.0484 eV/atom
- ΔE_f (raw): 183 meV per atom


No. 2
An optimized crystal structure of LaCdSe2, computed with PBE.

a b c (Å): 4.3877 4.0611 11.7506
angles (deg): 90.00 90.00 90.00
Atoms (fractional coordinates):
La  0.0000  0.0000  0.0000
La  0.0000  0.5000  0.5000
Cd  0.5000  0.0000  0.7785
Cd  0.5000  0.5000  0.2785
Se  0.0000  0.0000  0.2939
Se  0.0000  0.5000  0.7939
Se  0.5000  0.0000  0.5487
Se  0.5000  0.5000  0.0487

Computed properties:
- Spin magnetization: 0.0 Bohr magnetons per cell
- E: -4.5264 eV/atom
- ΔE_f (raw): -1324 meV per atom